Density functional theory data (GGA+U) for Li7Mn2Co3O12 after structural relaxation.

Cell and atoms, written as POSCAR:
```
Li7Mn2Co3O12
1.0
5.8573 0.0000 0.0000
2.9136 5.1096 0.0000
2.8428 0.1388 7.1247
Li Mn Co O
7 2 3 12
Direct
0.0000 0.0000 0.0000
0.0019 0.1722 0.3334
0.0040 0.4998 0.9970
0.0087 0.8318 0.6623
0.0148 0.3337 0.6544
0.5029 0.1749 0.3289
0.9965 0.6826 0.3384
0.5023 0.6690 0.3291
0.5031 0.0056 0.9995
0.4995 0.8418 0.6576
0.5052 0.4948 0.9972
0.5137 0.3211 0.6539
0.2686 0.8480 0.1684
0.2711 0.1534 0.8340
0.2710 0.5142 0.4905
0.2819 0.9732 0.4978
0.2873 0.3179 0.1401
0.2956 0.6323 0.8275
0.7131 0.6840 0.8427
0.7158 0.3731 0.1662
0.7267 0.8350 0.1625
0.7390 0.0158 0.5108
0.7412 0.5125 0.4863
0.7456 0.1459 0.8402
```

Calculated values
Electronic total energy in eV per atom: -5.87
Excess energy over the best structure of this formula in the dataset in eV/atom: 0.026
Symmetry: P1